! Rb2DySi2O6 (PBE-GGA, relaxed); values from VASP
! - Space-group type: No. 166
&SYSTEM
  ibrav = 0, nat = 11, ntyp = 4
/
ATOMIC_SPECIES
Rb 85.47 Rb.upf
Si 28.09 Si.upf
O 16.00 O.upf
Dy 162.50 Dy.upf
ATOMIC_POSITIONS crystal
Rb 0.282 0.564 0.846
Rb 0.718 0.436 0.154
Si 0.927 0.853 0.779
O 0.783 0.029 0.275
O 0.754 0.971 0.725
Si 0.073 0.147 0.221
O 0.246 0.492 0.276
O 0.217 0.971 0.725
O 0.246 0.029 0.275
Dy 0.500 0.000 0.500
O 0.754 0.508 0.724
CELL_PARAMETERS angstrom
-0.543 4.279 -4.088
2.984 -4.976 -1.285
-6.832 -0.615 0.263

=====

! Rb3Dy3SiO8 (PBE-GGA, relaxed); values from VASP
! - Space-group type: No. 166
&SYSTEM
  ibrav = 0, nat = 15, ntyp = 4
/
ATOMIC_SPECIES
Dy 162.50 Dy.upf
O 16.00 O.upf
Si 28.09 Si.upf
Rb 85.47 Rb.upf
ATOMIC_POSITIONS crystal
Dy 0.500 0.500 0.500
O 0.808 0.037 0.345
O 0.192 0.384 0.655
Si 0.000 0.000 0.500
Dy 0.500 0.000 0.500
O 0.808 0.616 0.345
Dy 0.000 0.500 0.500
O 0.228 0.037 0.345
Rb 0.500 0.500 0.000
O 0.724 0.449 0.673
O 0.772 0.963 0.655
Rb 0.000 0.000 0.000
O 0.192 0.963 0.655
O 0.276 0.551 0.327
Rb 0.000 0.500 0.000
CELL_PARAMETERS angstrom
-3.653 -2.556 -4.967
5.207 -3.410 2.410
-6.208 0.208 4.458

=====

! Rb3SmDy2O6 (PBE-GGA, relaxed); values from VASP
! - Space-group type: No. 12
&SYSTEM
  ibrav = 0, nat = 12, ntyp = 4
/
ATOMIC_SPECIES
O 16.00 O.upf
Rb 85.47 Rb.upf
Dy 162.50 Dy.upf
Sm 150.36 Sm.upf
ATOMIC_POSITIONS crystal
O 0.281 0.281 0.824
Rb 0.833 0.167 0.500
Rb 0.500 0.500 0.500
O 0.941 0.601 0.824
O 0.719 0.719 0.176
Dy 0.333 0.667 0.000
Rb 0.167 0.833 0.500
Dy 0.667 0.333 0.000
Sm 0.000 0.000 0.000
O 0.601 0.941 0.824
O 0.059 0.399 0.176
O 0.399 0.059 0.176
CELL_PARAMETERS angstrom
-0.919 2.352 5.599
-0.598 -6.042 -0.929
6.873 0.384 -0.156

=====

! Rb2Dy2SnO6 (PBE-GGA, relaxed); values from VASP
! - Space-group type: No. 12
&SYSTEM
  ibrav = 0, nat = 11, ntyp = 4
/
ATOMIC_SPECIES
Dy 162.50 Dy.upf
Sn 118.71 Sn.upf
O 16.00 O.upf
Rb 85.47 Rb.upf
ATOMIC_POSITIONS crystal
Dy 0.335 0.665 0.500
Sn 0.000 0.000 0.500
Dy 0.665 0.335 0.500
O 0.368 0.049 0.665
Rb 0.166 0.834 0.000
O 0.049 0.368 0.665
O 0.746 0.746 0.665
O 0.254 0.254 0.335
Rb 0.834 0.166 0.000
O 0.951 0.632 0.335
O 0.632 0.951 0.335
CELL_PARAMETERS angstrom
-3.144 4.857 -1.071
-1.093 -4.912 -3.049
-3.106 -1.855 5.943

=====

Let's list formation energy (no corrections) in order: -2.55; -2.58; -2.66; -2.44 eV per atom.
Let's list size of the total moment in order: 1.00; 0.00; 0.00; 0.00 μB per formula unit.